1.
The following is a PBE-GGA calculation of a relaxed PaZnCdO5 crystal, from Alexandria.

Results
- ΔE_f (raw): -1999 meV per atom
- SG: C2/c, No. 15
- Spin magnetization: 0.000 μB per cell
- Uncorrected energy: -0.241 hartree per atom

Cell: 5.903 5.903 8.073 Å, 102.71 102.71 110.94°
Fractional positions:
O (0.621, 0.723, 0.928)
Cd (0.660, 0.340, 0.750)
O (0.673, 0.043, 0.350)
O (0.379, 0.277, 0.072)
Zn (0.316, 0.684, 0.750)
Pa (0.000, 0.000, 0.500)
O (0.043, 0.673, 0.850)
O (0.327, 0.957, 0.650)
O (0.957, 0.327, 0.150)
O (0.099, 0.901, 0.250)
Cd (0.340, 0.660, 0.250)
Pa (0.000, 0.000, 0.000)
O (0.723, 0.621, 0.428)
Zn (0.684, 0.316, 0.250)
O (0.901, 0.099, 0.750)
O (0.277, 0.379, 0.572)

---

2.
The following is a PBE-GGA calculation of a relaxed Sm3As2Se2 crystal, from Alexandria.

Results
- ΔE_f (raw): -1390 meV per atom
- SG: C2/m, No. 12
- Spin magnetization: 0.000 μB per cell
- Uncorrected energy: -0.211 hartree per atom

Cell: 4.199 7.425 8.309 Å, 120.33 104.64 90.00°
Fractional positions:
Sm (0.000, 0.500, 0.000)
Se (0.124, 0.313, 0.248)
Se (0.876, 0.687, 0.752)
As (0.640, 0.767, 0.281)
Sm (0.721, 0.226, 0.443)
As (0.360, 0.233, 0.719)
Sm (0.279, 0.774, 0.557)

---

3.
The following is a PBE-GGA calculation of a relaxed P2RhCl crystal, from Alexandria.

Results
- ΔE_f (raw): 99 meV per atom
- E above lowest polymorph: 0.267 eV per atom
- SG: P4/mmm, No. 123
- Spin magnetization: 0.000 μB per cell
- Uncorrected energy: -0.180 hartree per atom

Cell: 3.198 3.195 6.666 Å, 90.00 90.00 90.00°
Fractional positions:
Cl (0.500, 0.500, 0.750)
Rh (0.500, 0.500, 0.250)
P (0.000, 0.000, 0.429)
P (0.000, 0.000, 0.071)